(1)
Here is a PBEsol-optimized structure of Te2Rh2Cl from the Alexandria database. Energies are from SCAN.

a = 7.730 Å, b = 7.730 Å, c = 7.730 Å
α = 150.70°, β = 150.70°, γ = 41.91°
Sites, in units of the cell vectors:
Te 0.135 0.135 0.000
Te 0.865 0.865 0.000
Rh 0.250 0.750 0.500
Rh 0.750 0.250 0.500
Cl 0.500 0.500 0.000

formation energy from raw total energies	-54	kJ per mole of atoms
space group	I4/mmm
Fermi-level density of states	1.343	states/eV/f.u.
magnetic moment	0.000	μB per atom
theoretical density	7.47	g/cm3

---

(2)
Here is a PBEsol-optimized structure of K2HgPdF6 from the Alexandria database. Energies are from SCAN.

a = 6.196 Å, b = 6.196 Å, c = 6.196 Å
α = 60.00°, β = 60.00°, γ = 60.00°
Sites, in units of the cell vectors:
K 0.250 0.250 0.250
K 0.750 0.750 0.750
Hg 0.000 0.000 0.000
Pd 0.500 0.500 0.500
F 0.263 0.263 0.737
F 0.263 0.737 0.263
F 0.263 0.737 0.737
F 0.737 0.263 0.263
F 0.737 0.263 0.737
F 0.737 0.737 0.263

formation energy from raw total energies	-195	kJ per mole of atoms
space group	Fm-3m
Fermi-level density of states	1.102	states/eV/f.u.
magnetic moment	0.195	μB per atom
theoretical density	4.93	g/cm3

---

(3)
Here is a PBEsol-optimized structure of CuP2PdCl from the Alexandria database. Energies are from SCAN.

a = 4.380 Å, b = 4.380 Å, c = 4.629 Å
α = 90.00°, β = 90.00°, γ = 90.00°
Sites, in units of the cell vectors:
Cu 0.000 0.000 0.000
P 0.000 0.500 0.000
P 0.500 0.000 0.000
Pd 0.500 0.500 0.500
Cl 0.000 0.000 0.500

formation energy from raw total energies	76	kJ per mole of atoms
space group	P4/mmm
Fermi-level density of states	2.625	states/eV/f.u.
magnetic moment	0.000	μB per atom
theoretical density	5.00	g/cm3

---

(4)
Here is a PBEsol-optimized structure of LaTi2Co2 from the Alexandria database. Energies are from SCAN.

a = 5.767 Å, b = 5.767 Å, c = 5.767 Å
α = 137.91°, β = 137.91°, γ = 61.04°
Sites, in units of the cell vectors:
La 0.000 0.000 0.000
Ti 0.250 0.750 0.500
Ti 0.750 0.250 0.500
Co 0.378 0.378 0.000
Co 0.622 0.622 0.000

space group	I4/mmm
Fermi-level density of states	4.453	states/eV/f.u.
formation energy	-0.15	eV per atom
magnetic moment	0.000	μB per atom
theoretical density	6.87	g/cm3

---

(5)
Here is a PBEsol-optimized structure of BeAlAs2 from the Alexandria database. Energies are from SCAN.

a = 3.915 Å, b = 3.480 Å, c = 5.068 Å
α = 90.00°, β = 107.47°, γ = 90.00°
Sites, in units of the cell vectors:
Be 0.000 0.000 0.000
Al 0.500 0.000 0.500
As 0.232 0.500 0.783
As 0.768 0.500 0.217

space group	P2/m
Fermi-level density of states	1.536	states/eV/f.u.
formation energy	0.19	eV per atom
magnetic moment	0.000	μB per atom
theoretical density	4.68	g/cm3

---

(6)
Here is a PBEsol-optimized structure of Na2SnPCO7 from the Alexandria database. Energies are from SCAN.

a = 5.297 Å, b = 6.772 Å, c = 9.208 Å
α = 90.00°, β = 90.90°, γ = 90.00°
Sites, in units of the cell vectors:
Na 0.250 0.008 0.219
Na 0.250 0.492 0.219
Na 0.750 0.508 0.781
Na 0.750 0.992 0.781
Sn 0.204 0.250 0.626
Sn 0.796 0.750 0.374
P 0.279 0.750 0.588
P 0.721 0.250 0.412
C 0.258 0.250 0.914
C 0.742 0.750 0.086
O 0.038 0.250 0.845
O 0.158 0.567 0.662
O 0.158 0.933 0.662
O 0.211 0.750 0.422
O 0.282 0.250 0.049
O 0.430 0.250 0.392
O 0.454 0.250 0.826
O 0.546 0.750 0.174
O 0.570 0.750 0.608
O 0.718 0.750 0.951
O 0.789 0.250 0.578
O 0.842 0.067 0.338
O 0.842 0.433 0.338
O 0.962 0.750 0.155

formation energy from raw total energies	-189	kJ per mole of atoms
space group	P2_1/m
Fermi-level density of states	1.306	states/eV/f.u.
magnetic moment	0.062	μB per atom
theoretical density	3.21	g/cm3